Below is crystalline Tl2SiH6 at its relaxed geometry, with properties calculated at the PBE level.

POSCAR file:
```
Tl2SiH6
1.0
-2.953 -0.195 -4.659
-5.114 -2.077 0.060
-4.344 3.343 -0.656
H Tl Si
6 2 1
direct
0.707 0.707 0.293 H
0.293 0.707 0.293 H
0.707 0.293 0.293 H
0.707 0.293 0.707 H
0.293 0.293 0.707 H
0.293 0.707 0.707 H
0.750 0.750 0.750 Tl
0.250 0.250 0.250 Tl
0.500 0.500 0.500 Si
```

Values from the calculation:
As for the space-group type: Fm-3m. The calculation puts the total energy at -3.20 eV per atom. The density of states at the Fermi level comes out at 0.00 states/eV/atom. For the volume, the calculation gives 13.218 A^3/atom.



Below is crystalline TlVSiH2 at its relaxed geometry, with properties calculated at the PBE level.

POSCAR file:
```
TlVSiH2
1.0
-1.560 2.129 -2.469
-5.215 0.427 3.664
1.386 2.911 1.634
V H Si Tl
1 2 1 1
direct
0.500 0.500 0.500 V
0.500 0.000 0.000 H
0.000 0.000 0.500 H
0.000 0.500 0.000 Si
0.000 0.000 0.000 Tl
```

Values from the calculation:
As for the space-group type: P4/mmm. The calculation puts the total energy at -4.00 eV per atom. The density of states at the Fermi level comes out at 0.59 states/eV/atom. For the volume, the calculation gives 16.690 A^3/atom.